Record 1
A relaxed Zn3P2O8 crystal, computed with PBE.

Geometry as CIF:
```
data_Zn3P2O8
_symmetry_space_group_name_H-M 'P -1'
_symmetry_Int_Tables_number 2
_symmetry_space_group_name_Hall '-P 1'
_cell_length_a 4.941
_cell_length_b 5.252
_cell_length_c 6.396
_cell_angle_alpha 70.96
_cell_angle_beta 85.17
_cell_angle_gamma 67.90
loop_
_atom_site_label
_atom_site_fract_x
_atom_site_fract_y
_atom_site_fract_z
Zn1 0.000 0.000 0.000
Zn2 0.278 0.249 0.314
P1 0.356 0.361 0.772
O1 0.149 0.671 0.654
O2 0.231 0.232 0.997
O3 0.340 0.633 0.183
O4 0.390 0.152 0.638
```

Computed properties:
Crystal system   triclinic
ΔE to the lowest computed polymorph   0.036 eV/atom

=====

Record 2
A relaxed PaZn crystal, computed with PBE.

Geometry as CIF:
```
data_PaZn
_symmetry_space_group_name_H-M 'P m m n'
_symmetry_Int_Tables_number 59
_cell_length_a 3.042
_cell_length_b 5.049
_cell_length_c 5.484
_cell_angle_alpha 90.00
_cell_angle_beta 90.00
_cell_angle_gamma 90.00
loop_
_symmetry_equiv_pos_as_xyz
'x,y,z'
'-x,-y,-z'
'-x+1/2,-y+1/2,z'
'x+1/2,y+1/2,-z'
'x+1/2,-y,-z'
'-x+1/2,y,z'
'-x,y+1/2,-z'
'x,-y+1/2,z'
loop_
_atom_site_label
_atom_site_fract_x
_atom_site_fract_y
_atom_site_fract_z
Pa1 0.250 0.250 0.071
Zn1 0.250 0.750 0.430
```

Computed properties:
Crystal system   orthorhombic
E_form   0.073 eV per atom

=====

Record 3
A relaxed NbFeCoSb crystal, computed with PBE.

Geometry as CIF:
```
data_NbFeCoSb
_symmetry_space_group_name_H-M 'F -4 3 m'
_symmetry_Int_Tables_number 216
_symmetry_space_group_name_Hall 'F -4 2 3'
_cell_length_a 6.251
_cell_length_b 6.251
_cell_length_c 6.251
_cell_angle_alpha 90.00
_cell_angle_beta 90.00
_cell_angle_gamma 90.00
loop_
_atom_site_label
_atom_site_fract_x
_atom_site_fract_y
_atom_site_fract_z
Nb1 0.000 0.000 0.000
Fe1 0.000 0.000 0.500
Co1 0.250 0.250 0.750
Sb1 0.250 0.250 0.250
```

Computed properties:
Crystal system   cubic
ΔE to the lowest computed polymorph   0.244 eV/atom